An optimized crystal structure of Ba5Mn. Source: Alexandria via LeMat-Bulk, functional PBE.

The structure in CIF format:
```
data_Ba5Mn
_chemical_formula_sum 'Ba10 Mn2'
_cell_length_a 6.671
_cell_length_b 4.776
_cell_length_c 19.683
_cell_angle_alpha 90.00
_cell_angle_beta 90.00
_cell_angle_gamma 90.00
_symmetry_space_group_name_H-M 'A m m 2'
_symmetry_Int_Tables_number 38
loop_
_symmetry_equiv_pos_as_xyz
'x,y,z'
'-x,-y,z'
'-x,y,z'
'x,-y,z'
'x,y+1/2,z+1/2'
'-x,-y+1/2,z+1/2'
'-x,y+1/2,z+1/2'
'x,-y+1/2,z+1/2'
loop_
_atom_site_label
_atom_site_fract_x
_atom_site_fract_y
_atom_site_fract_z
Ba1 0.000 0.000 0.000
Ba2 0.000 0.000 0.277
Ba3 0.500 0.000 0.137
Ba4 0.500 0.000 0.468
Ba5 0.500 0.000 0.806
Mn1 0.000 0.000 0.639
```

Calculated values
Formation energy from the elements = 0.3108 eV/atom
Distance to the lowest polymorph of the same formula = 68.2 meV per atom